Density functional theory data (PBE) for crystalline Pr3DyMg at its relaxed geometry.

abc: 3.573 8.628 11.626
angles: 107.87 98.84 90.00
Positions (direct):
Mg 0.424 0.401 0.848
Mg 0.576 0.599 0.152
Pr 0.983 0.775 0.965
Pr 0.824 0.557 0.648
Pr 0.378 0.967 0.757
Pr 0.176 0.443 0.352
Pr 0.017 0.225 0.035
Pr 0.622 0.033 0.243
Dy 0.735 0.820 0.471
Dy 0.265 0.180 0.529

Values from the calculation:
Electronic total energy (eV/atom): -4.043
Magnetization (μB/f.u.): 0.00
Energy of formation from the pure elements (eV per atom): 0.064
Space-group type: C2/m (12)

***

Density functional theory data (PBE) for crystalline Pm2Pr3Tm at its relaxed geometry.

abc: 6.349 6.350 12.036
angles: 84.96 79.88 60.01
Positions (direct):
Pr 0.583 0.334 0.247
Pr 0.417 0.666 0.753
Pr 0.748 0.000 0.753
Pr 0.917 0.666 0.247
Pr 0.252 0.000 0.247
Pr 0.083 0.334 0.753
Tm 0.667 0.667 0.000
Tm 0.333 0.333 0.000
Pm 0.167 0.667 0.500
Pm 0.833 0.333 0.500
Pm 0.500 0.000 0.500
Pm 0.000 0.000 0.000

Values from the calculation:
Electronic total energy (eV/atom): -4.704
Magnetization (μB/f.u.): 0.00
Energy of formation from the pure elements (eV per atom): 0.015
Space-group type: C2/m (12)

***

Density functional theory data (PBE) for crystalline TlVS3 at its relaxed geometry.

abc: 3.354 7.332 8.833
angles: 90.00 90.00 103.20
Positions (direct):
S 0.871 0.779 0.936
S 0.093 0.221 0.064
S 0.871 0.779 0.564
S 0.556 0.106 0.750
S 0.093 0.221 0.436
S 0.450 0.894 0.250
Tl 0.765 0.554 0.250
Tl 0.210 0.446 0.750
V 0.545 0.000 0.000
V 0.545 0.000 0.500

Values from the calculation:
Electronic total energy (eV/atom): -5.291
Raw formation energy (eV/atom): -0.518
Magnetization (μB/f.u.): 0.00
Space-group type: Pm (6)

***

Density functional theory data (PBE) for crystalline CoPbSe2 at its relaxed geometry.

abc: 6.339 6.339 6.339
angles: 142.82 142.82 53.59
Positions (direct):
Pb 0.750 0.250 0.500
Se 0.000 0.000 0.000
Se 0.250 0.750 0.500
Co 0.500 0.500 0.000

Values from the calculation:
Electronic total energy (eV/atom): -4.024
Raw formation energy (eV/atom): 0.421
Magnetization (μB/f.u.): 2.54
Space-group type: I-4m2 (119)

***

Density functional theory data (PBE) for crystalline Ac6TlPb6 at its relaxed geometry.

abc: 7.026 7.026 11.365
angles: 90.00 90.00 120.00
Positions (direct):
Pb 0.000 0.500 0.751
Pb 0.500 0.500 0.249
Pb 0.500 0.000 0.751
Pb 0.000 0.500 0.249
Pb 0.500 0.000 0.249
Pb 0.500 0.500 0.751
Ac 0.667 0.333 0.000
Ac 0.333 0.667 0.500
Ac 0.000 0.000 0.303
Ac 0.667 0.333 0.500
Ac 0.000 0.000 0.697
Ac 0.333 0.667 0.000
Tl 0.000 0.000 0.000

Values from the calculation:
Electronic total energy (eV/atom): -4.205
Magnetization (μB/f.u.): 0.04
Energy of formation from the pure elements (eV per atom): -0.416
Space-group type: P6/mmm (191)

***

Density functional theory data (PBE) for crystalline Fe2TcBi at its relaxed geometry.

abc: 3.935 3.935 9.581
angles: 78.15 78.15 90.00
Positions (direct):
Fe 0.375 0.436 0.750
Fe 0.564 0.125 0.250
Fe 0.875 0.814 0.750
Fe 0.186 0.625 0.250
Bi 0.000 0.000 0.000
Bi 0.750 0.250 0.500
Tc 0.500 0.500 0.000
Tc 0.250 0.750 0.500

Values from the calculation:
Electronic total energy (eV/atom): -6.893
Magnetization (μB/f.u.): 6.03
Energy of formation from the pure elements (eV per atom): 0.900
Space-group type: I-42d (122)

***

Density functional theory data (PBE) for crystalline Ac4RuPt at its relaxed geometry.

abc: 7.427 7.466 9.464
angles: 106.19 106.03 107.15
Positions (direct):
Pt 0.327 0.577 0.154
Pt 0.673 0.423 0.846
Ac 0.444 0.702 0.894
Ac 0.698 0.957 0.381
Ac 0.556 0.298 0.106
Ac 0.183 0.424 0.381
Ac 0.051 0.808 0.106
Ac 0.949 0.192 0.894
Ac 0.302 0.043 0.619
Ac 0.817 0.576 0.619
Ru 0.831 0.081 0.162
Ru 0.169 0.919 0.838

Values from the calculation:
Electronic total energy (eV/atom): -5.790
Magnetization (μB/f.u.): 0.00
Energy of formation from the pure elements (eV per atom): -0.498
Space-group type: C2/c (15)

***

Density functional theory data (PBE) for crystalline AlSi4O10 at its relaxed geometry.

abc: 7.681 7.681 5.064
angles: 90.76 90.76 48.05
Positions (direct):
Si 0.008 0.697 0.761
Si 0.303 0.992 0.239
Si 0.006 0.289 0.725
Si 0.711 0.994 0.275
O 0.001 0.500 0.658
O 0.196 0.132 0.961
O 0.874 0.904 0.540
O 0.096 0.126 0.460
O 0.274 0.584 0.804
O 0.500 0.999 0.342
O 0.607 0.249 0.192
O 0.751 0.393 0.808
O 0.416 0.726 0.196
O 0.868 0.804 0.039
Al 0.514 0.486 0.000

Values from the calculation:
Electronic total energy (eV/atom): -7.642
Raw formation energy (eV/atom): -2.641
Magnetization (μB/f.u.): 1.11
Space-group type: C2 (5)